No. 1
First-principles (GGA-PBE) data for crystalline Sm2Al4RuAu3 at its relaxed geometry, as listed in the Alexandria database.

Cell: 4.292 4.292 10.673 Å, 90.00 90.00 90.00°
Space group P-4m2 (No. 115)
One atom of each set of equivalent atoms:
1 Sm 0.000 0.500 0.242 (multiplicity 2)
2 Al 0.000 0.000 0.500 (multiplicity 1)
3 Al 0.000 0.500 0.875 (multiplicity 2)
4 Al 0.500 0.500 0.500 (multiplicity 1)
5 Ru 0.500 0.500 0.000 (multiplicity 1)
6 Au 0.000 0.000 0.000 (multiplicity 1)
7 Au 0.000 0.500 0.638 (multiplicity 2)

Summary:
* spin magnetization: 0.000 μB per cell
* volume: 196.6 Å³/cell
* formation enthalpy at 0 K: -6.8 eV per formula unit

No. 2
First-principles (GGA-PBE) data for crystalline Sr2AlRuAu at its relaxed geometry, as listed in the Alexandria database.

Cell: 5.859 5.859 4.773 Å, 90.00 90.00 90.00°
Space group P4/mmm (No. 123)
One atom of each set of equivalent atoms:
1 Sr 0.000 0.500 0.000 (multiplicity 2)
2 Al 0.000 0.000 0.500 (multiplicity 1)
3 Ru 0.500 0.500 0.500 (multiplicity 1)
4 Au 0.000 0.000 0.000 (multiplicity 1)

Summary:
* spin magnetization: 1.607 μB per cell
* volume: 163.9 Å³/cell
* formation enthalpy at 0 K: 2.4 eV per formula unit

No. 3
First-principles (GGA-PBE) data for crystalline AlTcRu2Au at its relaxed geometry, as listed in the Alexandria database.

Cell: 4.597 4.597 4.691 Å, 90.00 90.00 90.00°
Space group P4/mmm (No. 123)
One atom of each set of equivalent atoms:
1 Al 0.000 0.000 0.000 (multiplicity 1)
2 Tc 0.000 0.000 0.500 (multiplicity 1)
3 Ru 0.000 0.500 0.500 (multiplicity 2)
4 Au 0.500 0.500 0.000 (multiplicity 1)

Summary:
* spin magnetization: 0.232 μB per cell
* volume: 99.2 Å³/cell
* formation enthalpy at 0 K: 5.8 eV per formula unit

No. 4
First-principles (GGA-PBE) data for crystalline Th2Al4RuAu3 at its relaxed geometry, as listed in the Alexandria database.

Cell: 4.331 4.331 10.579 Å, 90.00 90.00 90.00°
Space group P-4m2 (No. 115)
One atom of each set of equivalent atoms:
1 Th 0.000 0.500 0.239 (multiplicity 2)
2 Al 0.000 0.000 0.500 (multiplicity 1)
3 Al 0.000 0.500 0.873 (multiplicity 2)
4 Al 0.500 0.500 0.500 (multiplicity 1)
5 Ru 0.500 0.500 0.000 (multiplicity 1)
6 Au 0.000 0.000 0.000 (multiplicity 1)
7 Au 0.000 0.500 0.634 (multiplicity 2)

Summary:
* spin magnetization: 0.000 μB per cell
* volume: 198.4 Å³/cell
* formation enthalpy at 0 K: -6.6 eV per formula unit

No. 5
First-principles (GGA-PBE) data for crystalline AlAu3S at its relaxed geometry, as listed in the Alexandria database.

Cell: 4.840 4.840 4.840 Å, 90.00 90.00 90.00°
Space group Pm-3m (No. 221)
One atom of each set of equivalent atoms:
1 Al 0.000 0.000 0.000 (multiplicity 1)
2 Au 0.000 0.000 0.500 (multiplicity 3)
3 S 0.500 0.500 0.500 (multiplicity 1)

Summary:
* spin magnetization: 0.000 μB per cell
* volume: 113.4 Å³/cell
* raw formation energy: 15.34 kcal/mol of atoms

No. 6
First-principles (GGA-PBE) data for crystalline AlAuS at its relaxed geometry, as listed in the Alexandria database.

Cell: 6.421 6.126 6.762 Å, 90.00 111.87 90.00°
Space group P2_1/c (No. 14)
One atom of each set of equivalent atoms:
1 Al 0.143 0.128 0.311 (multiplicity 4)
2 Au 0.239 0.749 0.738 (multiplicity 4)
3 S 0.346 0.142 0.678 (multiplicity 4)

Summary:
* spin magnetization: 0.000 μB per cell
* volume: 246.8 Å³/cell
* raw formation energy: -13.27 kcal/mol of atoms

Q: Which value of volume does entry 2 give?
A: 163.9 Å³/cell

Repeat the second record exactly.
First-principles (GGA-PBE) data for crystalline Sr2AlRuAu at its relaxed geometry, as listed in the Alexandria database.

Cell: 5.859 5.859 4.773 Å, 90.00 90.00 90.00°
Space group P4/mmm (No. 123)
One atom of each set of equivalent atoms:
1 Sr 0.000 0.500 0.000 (multiplicity 2)
2 Al 0.000 0.000 0.500 (multiplicity 1)
3 Ru 0.500 0.500 0.500 (multiplicity 1)
4 Au 0.000 0.000 0.000 (multiplicity 1)

Summary:
* spin magnetization: 1.607 μB per cell
* volume: 163.9 Å³/cell
* formation enthalpy at 0 K: 2.4 eV per formula unit